First-principles (PBE) data for a relaxed structure of ErGe2Pd8, as listed in Alexandria via LeMat-Bulk. Values from VASP.

Structure (Quantum ESPRESSO input):
```
&SYSTEM
  ibrav = 0, nat = 11, ntyp = 3
/
ATOMIC_SPECIES
Er 167.26 Er.upf
Pd 106.42 Pd.upf
Ge 72.64 Ge.upf
ATOMIC_POSITIONS crystal
Er 0.500 0.000 0.000
Pd 0.500 0.755 0.245
Pd 0.318 0.612 0.612
Pd 0.500 0.245 0.755
Pd 0.093 0.069 0.321
Pd 0.907 0.679 0.931
Pd 0.907 0.931 0.679
Pd 0.093 0.321 0.069
Pd 0.682 0.388 0.388
Ge 0.000 0.320 0.680
Ge 0.000 0.680 0.320
CELL_PARAMETERS angstrom
4.528 -0.118 -0.178
-0.920 6.720 -0.070
-0.920 -2.652 6.174
```

Output
Theoretical density in g cm⁻³: 10.456
SG: C2/m, No. 12
Density of states at the Fermi level in states/eV per atom: 0.44
ΔE_f in eV per formula unit: -6.1
Final energy in eV per cell: -61.4